1.
The following is a DFT calculation (meta-GGA SCAN) of Ga3RhAu at its PBEsol-relaxed geometry.

Calculated values
**Energy relative to the elements**: -132 meV/atom
**Calculated total energy**: -152.6 eV per cell
**Volume**: 20.45 Å³/atom

a = 4.676 Å, b = 4.676 Å, c = 4.676 Å
α = 90.00°, β = 90.00°, γ = 90.00°
Space group Pm-3m (No. 221)
Asymmetric unit:
Ga: 0.000 0.000 0.500 (multiplicity 3)
Rh: 0.000 0.000 0.000 (multiplicity 1)
Au: 0.500 0.500 0.500 (multiplicity 1)

2.
The following is a DFT calculation (meta-GGA SCAN) of GaSb2Au at its PBEsol-relaxed geometry.

Calculated values
**Uncorrected formation energy**: -0.06 eV/atom
**Calculated total energy**: -641.1 eV per cell
**Volume**: 28.48 Å³/atom

a = 6.156 Å, b = 6.156 Å, c = 12.023 Å
α = 90.00°, β = 90.00°, γ = 90.00°
Space group I-42d (No. 122)
Asymmetric unit:
Ga: 0.000 0.000 0.000 (multiplicity 4)
Sb: 0.249 0.250 0.625 (multiplicity 8)
Au: 0.000 0.000 0.500 (multiplicity 4)

3.
The following is a DFT calculation (meta-GGA SCAN) of GaSbAu2 at its PBEsol-relaxed geometry.

Calculated values
**Uncorrected formation energy**: -0.13 eV/atom
**Calculated total energy**: -769.7 eV per cell
**Volume**: 21.17 Å³/atom

a = 4.500 Å, b = 4.500 Å, c = 16.725 Å
α = 90.00°, β = 90.00°, γ = 90.00°
Space group I-42d (No. 122)
Asymmetric unit:
Ga: 0.000 0.000 0.000 (multiplicity 4)
Sb: 0.000 0.000 0.500 (multiplicity 4)
Au: 0.214 0.250 0.125 (multiplicity 8)

4.
The following is a DFT calculation (meta-GGA SCAN) of Sc2Ga2Au at its PBEsol-relaxed geometry.

Calculated values
**Energy relative to the elements**: -860 meV/atom
**Calculated total energy**: -269.2 eV per cell
**Volume**: 18.03 Å³/atom

a = 6.615 Å, b = 6.615 Å, c = 4.121 Å
α = 90.00°, β = 90.00°, γ = 90.00°
Space group P4/mbm (No. 127)
Asymmetric unit:
Sc: 0.169 0.331 0.000 (multiplicity 4)
Ga: 0.133 0.633 0.500 (multiplicity 4)
Au: 0.000 0.000 0.500 (multiplicity 2)

5.
The following is a DFT calculation (meta-GGA SCAN) of Sc2GaAuSe at its PBEsol-relaxed geometry.

Calculated values
**Uncorrected formation energy**: -0.27 eV/atom
**Calculated total energy**: -135.4 eV per cell
**Volume**: 23.25 Å³/atom

a = 4.911 Å, b = 4.911 Å, c = 4.821 Å
α = 90.00°, β = 90.00°, γ = 90.00°
Space group P4/mmm (No. 123)
Asymmetric unit:
Sc: 0.000 0.500 0.000 (multiplicity 2)
Ga: 0.000 0.000 0.500 (multiplicity 1)
Au: 0.500 0.500 0.500 (multiplicity 1)
Se: 0.500 0.500 0.000 (multiplicity 1)

6.
The following is a DFT calculation (meta-GGA SCAN) of GaAuSe2 at its PBEsol-relaxed geometry.

Calculated values
**Uncorrected formation energy**: 0.20 eV/atom
**Calculated total energy**: -374.6 eV per cell
**Volume**: 26.24 Å³/atom

a = 4.1080 Å, b = 4.1080 Å, c = 21.5475 Å
α = 90.00°, β = 90.00°, γ = 120.00°
Space group R-3m (No. 166, hexagonal axes)
Asymmetric unit:
Ga: 0.0000 0.0000 0.0000 (multiplicity 3)
Au: 0.0000 0.0000 0.5000 (multiplicity 3)
Se: 0.0000 0.0000 0.1062 (multiplicity 6)

7.
The following is a DFT calculation (meta-GGA SCAN) of GaTcAuSe2 at its PBEsol-relaxed geometry.

Calculated values
**Uncorrected formation energy**: 0.90 eV/atom
**Calculated total energy**: -156.2 eV per cell
**Volume**: 24.56 Å³/atom

a = 5.120 Å, b = 5.120 Å, c = 4.685 Å
α = 90.00°, β = 90.00°, γ = 90.00°
Space group P4/mmm (No. 123)
Asymmetric unit:
Ga: 0.000 0.000 0.000 (multiplicity 1)
Tc: 0.500 0.500 0.000 (multiplicity 1)
Au: 0.000 0.000 0.500 (multiplicity 1)
Se: 0.000 0.500 0.500 (multiplicity 2)

8.
The following is a DFT calculation (meta-GGA SCAN) of GaSiAu2 at its PBEsol-relaxed geometry.

Calculated values
**Uncorrected formation energy**: -0.10 eV/atom
**Calculated total energy**: -660.3 eV per cell
**Volume**: 17.86 Å³/atom

a = 4.179 Å, b = 4.179 Å, c = 16.369 Å
α = 90.00°, β = 90.00°, γ = 90.00°
Space group I-42d (No. 122)
Asymmetric unit:
Ga: 0.000 0.000 0.000 (multiplicity 4)
Si: 0.000 0.000 0.500 (multiplicity 4)
Au: 0.236 0.250 0.625 (multiplicity 8)

9.
The following is a DFT calculation (meta-GGA SCAN) of GaSi2Au2 at its PBEsol-relaxed geometry.

Calculated values
**Uncorrected formation energy**: 0.19 eV/atom
**Calculated total energy**: -347.5 eV per cell
**Volume**: 17.61 Å³/atom

a = 3.778 Å, b = 3.778 Å, c = 12.334 Å
α = 90.00°, β = 90.00°, γ = 90.00°
Space group I4/mmm (No. 139)
Asymmetric unit:
Ga: 0.000 0.000 0.000 (multiplicity 2)
Si: 0.000 0.500 0.250 (multiplicity 4)
Au: 0.000 0.000 0.391 (multiplicity 4)

10.
The following is a DFT calculation (meta-GGA SCAN) of Ga2SnAu2 at its PBEsol-relaxed geometry.

Calculated values
**Energy relative to the elements**: -63 meV/atom
**Energy above the lowest structure with this stoichiometry**: 83.1 meV/atom
**Calculated total energy**: -414.5 eV per cell
**Volume**: 19.89 Å³/atom

a = 4.412 Å, b = 4.412 Å, c = 10.218 Å
α = 90.00°, β = 90.00°, γ = 90.00°
Space group I4/mmm (No. 139)
Asymmetric unit:
Ga: 0.000 0.000 0.119 (multiplicity 4)
Sn: 0.000 0.000 0.500 (multiplicity 2)
Au: 0.000 0.500 0.250 (multiplicity 4)

11.
The following is a DFT calculation (meta-GGA SCAN) of Ga2SnAu2 at its PBEsol-relaxed geometry.

Calculated values
**Energy relative to the elements**: -146 meV/atom
**Energy above the lowest structure with this stoichiometry**: 0.0 meV/atom
**Calculated total energy**: -415.3 eV per cell
**Volume**: 19.23 Å³/atom

a = 3.945 Å, b = 3.945 Å, c = 12.359 Å
α = 90.00°, β = 90.00°, γ = 90.00°
Space group I4/mmm (No. 139)
Asymmetric unit:
Ga: 0.000 0.500 0.250 (multiplicity 4)
Sn: 0.000 0.000 0.000 (multiplicity 2)
Au: 0.000 0.000 0.389 (multiplicity 4)

12.
The following is a DFT calculation (meta-GGA SCAN) of TlGaSnAu2 at its PBEsol-relaxed geometry.

Calculated values
**Energy relative to the elements**: 181 meV/atom
**Calculated total energy**: -262.0 eV per cell
**Volume**: 24.87 Å³/atom

a = 4.854 Å, b = 4.854 Å, c = 5.278 Å
α = 90.00°, β = 90.00°, γ = 90.00°
Space group P4/mmm (No. 123)
Asymmetric unit:
Tl: 0.000 0.000 0.000 (multiplicity 1)
Ga: 0.500 0.500 0.500 (multiplicity 1)
Sn: 0.500 0.500 0.000 (multiplicity 1)
Au: 0.000 0.500 0.500 (multiplicity 2)

Among the records above, which one has the lowest calculated total energy?
GaSbAu2